[1]
12
Lattice="5.0338 -0.4074 -0.7017 -1.7841 9.2524 0.3561 -1.7841 -4.2777 8.2119" Properties=species:S:1:pos:R:3 comment="Nd2Tm3Tl, optimized geometry, DFT GGA-PBE" crystal_system=orthorhombic ef_ev_per_atom=-0.094 total_energy_ev_per_atom=-4.31 de_polymorph_mev_per_atom=0 rho_g_cm3=9.03 magmom_total_mub_per_cell=0.00 pbc="T T T"
Nd -0.5256 8.1329 0.7715
Nd -0.5256 -1.3612 6.2839
Nd 1.9913 -3.5657 7.0947
Nd 1.9913 5.9285 1.5822
Tm -0.8280 0.3683 3.1063
Tm 1.6889 2.3114 1.5090
Tm -0.8920 4.6262 0.1780
Tm 2.2936 4.1989 4.7599
Tm 1.6248 -2.3426 3.7551
Tm -0.2233 2.2559 6.3572
Tl -0.5256 3.8170 3.2773
Tl 1.9913 0.7502 4.5888

=====

[2]
6
Lattice="-4.3576 2.1008 -2.6234 -5.0027 -2.1396 0.8244 -3.7850 2.8510 2.7982" Properties=species:S:1:pos:R:3 comment="AcPuP4, optimized geometry, DFT GGA-PBE" crystal_system=cubic ef_ev_per_atom=-0.319 total_energy_ev_per_atom=-7.00 rho_g_cm3=8.38 magmom_total_mub_per_cell=6.16 pbc="T T T"
P -6.3131 0.2880 -0.8269
P -5.6792 2.8858 0.2006
P -8.2833 1.7720 0.6297
P -6.0150 0.6785 1.9952
Ac -3.2863 0.7030 0.2498
Pu 0.0000 0.0000 0.0000

=====

[3]
20
Lattice="7.2123 -0.2866 -0.3982 -2.0159 6.9308 -0.3982 -2.0159 -2.5776 6.4460" Properties=species:S:1:pos:R:3 comment="KZn4Bi3O12, optimized geometry, DFT GGA-PBE" e_form_raw_ev_per_atom=-1.061 crystal_system=trigonal total_energy_ev_per_atom=-4.93 rho_g_cm3=6.13 magmom_total_mub_per_cell=0.00 pbc="T T T"
K 0.0000 0.0000 0.0000
Zn 5.6542 -1.1451 2.8248
Zn -2.4737 1.0244 5.8388
Zn 1.5902 6.2206 -0.1892
Zn 1.5902 2.0333 2.8248
Bi 3.0880 2.9391 -0.3982
Bi 2.1084 -1.5537 3.3871
Bi -2.0159 2.6813 2.6607
O 1.5902 0.5020 3.9271
O 5.2314 2.9373 0.1243
O -2.0509 4.8811 2.8248
O 1.5902 -1.7184 5.5253
O 0.1018 5.7900 0.9511
O -0.9329 -0.1267 5.7925
O 5.5949 0.4277 1.7185
O 3.0787 5.0026 -0.1429
O -2.4144 2.5728 4.6985
O 4.1134 -1.4665 3.9311
O 3.0764 2.4023 1.7226
O 0.1041 3.1957 2.8248

=====

[4]
9
Lattice="-2.0601 3.1696 -0.4758 -4.2012 -1.7172 -8.5043 -8.3192 -2.4888 4.1856" Properties=species:S:1:pos:R:3 comment="Sm5Pb4, optimized geometry, DFT GGA-PBE" crystal_system=tetragonal ef_ev_per_atom=-0.301 total_energy_ev_per_atom=-4.57 de_polymorph_mev_per_atom=272 rho_g_cm3=7.71 magmom_total_mub_per_cell=0.00 pbc="T T T"
Sm -5.0685 0.4886 -5.3098
Sm -10.6175 -0.7857 -5.0278
Sm -3.9630 -0.2508 0.2333
Sm -9.5120 -1.5251 0.5152
Sm 0.0000 0.0000 0.0000
Pb -4.1495 1.5165 -2.4416
Pb -8.1031 0.6504 -6.3482
Pb -6.4774 -1.6868 1.5536
Pb -10.4311 -2.5530 -2.3529

=====

[5]
12
Lattice="5.4802 0.0000 0.0000 0.0000 5.4802 0.0000 0.0000 0.0000 10.5513" Properties=species:S:1:pos:R:3 comment="NaCd2Hg9, optimized geometry, DFT GGA-PBE" crystal_system=tetragonal ef_ev_per_atom=-0.041 total_energy_ev_per_atom=-0.53 de_polymorph_mev_per_atom=0 rho_g_cm3=10.76 magmom_total_mub_per_cell=0.00 pbc="T T T"
Na 0.0000 0.0000 0.0000
Cd 0.0000 0.0000 3.5743
Cd 0.0000 0.0000 6.9770
Hg 2.7401 2.7401 0.0000
Hg 2.7401 2.7401 3.5623
Hg 2.7401 2.7401 6.9889
Hg 2.7401 0.0000 1.8441
Hg 2.7401 0.0000 5.2756
Hg 2.7401 0.0000 8.7072
Hg 0.0000 2.7401 1.8441
Hg 0.0000 2.7401 5.2756
Hg 0.0000 2.7401 8.7072

=====

[6]
5
Lattice="5.2892 0.0000 0.0000 0.0000 4.0861 0.0000 0.0000 0.0000 5.2892" Properties=species:S:1:pos:R:3 comment="ScNb2SnC, optimized geometry, DFT GGA-PBE" crystal_system=tetragonal ef_ev_per_atom=1.881 total_energy_ev_per_atom=-6.06 de_polymorph_mev_per_atom=2232 rho_g_cm3=5.25 magmom_total_mub_per_cell=1.77 pbc="T T T"
Sc 2.6446 2.0430 2.6446
C 0.0000 2.0430 0.0000
Nb 0.0000 0.0000 2.6446
Nb 2.6446 0.0000 0.0000
Sn 0.0000 0.0000 0.0000

=====

[7]
5
Lattice="-2.6006 2.8215 3.3927 -1.1433 4.6444 -1.8322 -0.5909 -4.7502 -1.8222" Properties=species:S:1:pos:R:3 comment="Be2AsP2, optimized geometry, DFT GGA-PBE" crystal_system=tetragonal ef_ev_per_atom=0.296 total_energy_ev_per_atom=-4.29 rho_g_cm3=3.70 magmom_total_mub_per_cell=0.00 pbc="T T T"
Be -1.8031 1.8135 -1.4370
Be -2.5318 0.9021 1.1754
As 0.0000 0.0000 0.0000
P -2.3551 4.6962 0.9816
P -1.3889 2.7696 0.5789

=====

[8]
4
Lattice="-3.1395 -1.1975 0.1231 0.4630 -0.8839 3.2109 -2.8198 7.6510 2.5127" Properties=species:S:1:pos:R:3 comment="Er2NbHg, optimized geometry, DFT GGA-PBE" crystal_system=tetragonal ef_ev_per_atom=-0.068 total_energy_ev_per_atom=-4.94 rho_g_cm3=10.81 magmom_total_mub_per_cell=0.00 pbc="T T T"
Nb -1.3382 -1.0407 1.6670
Hg -2.7481 2.7848 2.9233
Er -2.1311 5.7825 1.8991
Er -0.6886 1.8685 0.6137

=====

[9]
5
Lattice="-2.7833 3.0926 -0.7522 -2.4489 -2.7191 -2.1181 -2.0330 -0.9586 3.5812" Properties=species:S:1:pos:R:3 comment="PaV3B, optimized geometry, DFT GGA-PBE" crystal_system=cubic ef_ev_per_atom=0.145 total_energy_ev_per_atom=-8.56 rho_g_cm3=8.67 magmom_total_mub_per_cell=4.22 pbc="T T T"
B 0.0000 0.0000 0.0000
Pa -3.6326 -0.2925 0.3555
V -1.2245 -1.3595 -1.0590
V -1.0165 -0.4793 1.7906
V -1.3916 1.5463 -0.3761

=====

[10]
6
Lattice="3.0548 -1.9210 -0.9731 -0.3527 3.5913 -0.9731 -4.3525 -2.6905 20.1863" Properties=species:S:1:pos:R:3 comment="YTl2, optimized geometry, DFT GGA-PBE" crystal_system=orthorhombic ef_ev_per_atom=-0.123 total_energy_ev_per_atom=-3.86 rho_g_cm3=9.42 magmom_total_mub_per_cell=0.00 pbc="T T T"
Y -3.0539 0.6625 14.1668
Y 1.4034 -1.6827 4.0733
Tl 0.5652 -0.9158 7.1352
Tl 1.0923 -0.5899 1.0118
Tl -2.2156 -0.1045 11.1049
Tl -2.7427 -0.4303 17.2283

=====

[11]
10
Lattice="-6.8513 1.8750 3.6891 -4.1321 -2.7111 -6.2961 -0.1003 -3.2464 1.4637" Properties=species:S:1:pos:R:3 comment="Hg2TeH2, optimized geometry, DFT GGA-PBE" crystal_system=tetragonal total_energy_ev_per_atom=-1.65 de_polymorph_mev_per_atom=387 rho_g_cm3=7.72 magmom_total_mub_per_cell=0.00 pbc="T T T"
H -3.4012 -1.4572 -3.4650
H -7.8883 -1.2161 -3.2378
H -7.5822 0.6211 0.8579
H -3.0951 0.3800 0.6307
Te 0.0000 0.0000 0.0000
Te -5.4917 -0.4181 -1.3035
Hg -3.6591 -3.0962 -2.7824
Hg -7.9899 -2.7526 -2.3171
Hg -7.4246 -0.9863 1.6391
Hg -3.0938 -1.3300 1.1737

=====

[12]
6
Lattice="1.8670 5.5757 -0.0001 -1.8670 5.5757 -0.0001 0.0000 0.9100 6.6411" Properties=species:S:1:pos:R:3 comment="LaBe, optimized geometry, DFT GGA-PBE" crystal_system=monoclinic ef_ev_per_atom=0.176 total_energy_ev_per_atom=-4.15 de_polymorph_mev_per_atom=136 rho_g_cm3=5.33 magmom_total_mub_per_cell=0.00 pbc="T T T"
La 0.0000 3.9778 1.9763
La 0.0000 1.0661 3.5890
La 0.0000 3.8059 5.6699
Be 0.0000 0.3080 0.4250
Be 0.0000 6.8098 6.0535
Be 0.0000 7.0548 1.1026

=====

Q: What is the formula in the twelfth record?
A: LaBe